P) Entry from Alexandria: a geometry-optimized ZrSeF3 structure (GGA-PBE).

Structure (POSCAR):
```
ZrSeF3
1.0
5.339 0.000 0.000
0.189 5.529 0.000
0.379 0.920 5.832
Zr Se F
2 2 6
Direct
0.000 0.000 0.000
0.484 0.454 0.292
0.406 0.097 0.667
0.698 0.379 0.751
0.254 0.212 0.155
0.276 0.709 0.058
0.278 0.650 0.480
0.775 0.708 0.196
0.777 0.180 0.237
0.920 0.838 0.747
```

Calculated values
- Total magnetic moment: 0.0 Bohr magnetons per cell
- Volume: 172.2 Å³/cell
- SG: P1, No. 1


Q) Entry from Alexandria: a geometry-optimized ZrSeF3 structure (GGA-PBE).

Structure (POSCAR):
```
ZrSeF3
1.0
4.291 0.000 0.000
0.000 4.291 0.000
0.000 0.000 4.291
Zr Se F
1 1 3
Direct
0.000 0.000 0.000
0.500 0.500 0.500
0.000 0.000 0.500
0.000 0.500 0.000
0.500 0.000 0.000
```

Calculated values
- Total magnetic moment: 1.0 Bohr magnetons per cell
- Volume: 79.0 Å³/cell
- Fermi-level density of states: 3.48 states/eV per cell
- SG: Pm-3m, No. 221


R) Entry from Alexandria: a geometry-optimized ZrSeF3 structure (GGA-PBE).

Structure (POSCAR):
```
ZrSeF3
1.0
4.500 0.000 0.000
0.000 4.500 0.000
0.000 0.000 4.500
Zr Se F
1 1 3
Direct
0.000 0.000 0.000
0.500 0.500 0.500
0.000 0.500 0.500
0.500 0.000 0.500
0.500 0.500 0.000
```

Calculated values
- Total magnetic moment: 2.1 Bohr magnetons per cell
- Volume: 91.1 Å³/cell
- Fermi-level density of states: 5.10 states/eV per cell
- SG: Pm-3m, No. 221


Which of them is most stable? Easy: P).


P) Entry from Alexandria: a geometry-optimized SiF structure (GGA-PBE).

Structure (POSCAR):
```
SiF
1.0
6.546 0.000 0.000
0.000 6.546 0.000
0.000 0.000 6.546
Si F
6 6
Direct
0.000 0.250 0.500
0.000 0.750 0.500
0.250 0.500 0.000
0.500 0.000 0.250
0.500 0.000 0.750
0.750 0.500 0.000
0.000 0.500 0.250
0.000 0.500 0.750
0.250 0.000 0.500
0.500 0.250 0.000
0.500 0.750 0.000
0.750 0.000 0.500
```

Calculated values
- Total magnetic moment: 0.0 Bohr magnetons per cell
- Volume: 280.5 Å³/cell
- Fermi-level density of states: 5.80 states/eV per cell
- SG: Pm-3n, No. 223


Q) Entry from Alexandria: a geometry-optimized SiF structure (GGA-PBE).

Structure (POSCAR):
```
SiF
1.0
3.655 0.000 0.000
0.000 10.998 0.000
0.000 0.000 4.746
Si F
6 6
Direct
0.250 0.076 0.060
0.250 0.424 0.060
0.250 0.750 0.941
0.750 0.250 0.059
0.750 0.576 0.940
0.750 0.924 0.940
0.250 0.072 0.405
0.250 0.428 0.405
0.250 0.750 0.591
0.750 0.250 0.409
0.750 0.572 0.595
0.750 0.928 0.595
```

Calculated values
- Total magnetic moment: 0.0 Bohr magnetons per cell
- Volume: 190.8 Å³/cell
- Fermi-level density of states: 1.70 states/eV per cell
- SG: Pmmn, No. 59


Which of them is most stable? Easy: Q).


P) Entry from Alexandria: a geometry-optimized Sm2SiF structure (GGA-PBE).

Structure (POSCAR):
```
Sm2SiF
1.0
1.984 1.145 6.916
-1.984 1.145 6.916
0.000 -2.290 6.916
Sm Si F
2 1 1
Direct
0.000 0.000 0.000
0.175 0.175 0.175
0.587 0.587 0.587
0.409 0.409 0.409
```

Calculated values
- Total magnetic moment: 0.0 Bohr magnetons per cell
- Volume: 94.3 Å³/cell
- Fermi-level density of states: 2.43 states/eV per cell
- SG: R3m, No. 160


Q) Entry from Alexandria: a geometry-optimized Sm2SiF structure (GGA-PBE).

Structure (POSCAR):
```
Sm2SiF
1.0
2.181 1.259 7.471
-2.181 1.259 7.471
0.000 -2.519 7.471
Sm Si F
2 1 1
Direct
0.102 0.102 0.102
0.898 0.898 0.898
0.500 0.500 0.500
0.000 0.000 0.000
```

Calculated values
- Total magnetic moment: 0.0 Bohr magnetons per cell
- Volume: 123.1 Å³/cell
- Fermi-level density of states: 2.48 states/eV per cell
- SG: R-3m, No. 166


Which of them is most stable? Easy: Q).